The following is a DFT calculation (GGA-PBEsol) of crystalline La2Ge5Ir3 at its relaxed geometry.

CIF file:
```
data_La2Ge5Ir3
_cell_length_a 10.2176
_cell_length_b 11.9841
_cell_length_c 6.0555
_cell_angle_alpha 90.00
_cell_angle_beta 90.00
_cell_angle_gamma 90.00
_symmetry_space_group_name_H-M 'I b a m'
_symmetry_Int_Tables_number 72
_symmetry_space_group_name_Hall '-I 2 2c'
loop_
_atom_site_label
_atom_site_type_symbol
_atom_site_fract_x
_atom_site_fract_y
_atom_site_fract_z
La1 La 0.2302 0.1319 0.0000
Ge1 Ge 0.0000 0.0000 0.2500
Ge2 Ge 0.0000 0.2742 0.2500
Ge3 Ge 0.1579 0.3990 0.0000
Ir1 Ir 0.0000 0.5000 0.2500
Ir2 Ir 0.1104 0.1407 0.5000
```

Calculated values
Size of the total moment: 0.0 μB per cell
E: -291.9 eV per cell
Crystal system: orthorhombic
D(E_F): 17.64 states/eV per cell